[1]
# K4Bi3Pt2 PBE optimized geometry
data_K4Bi3Pt2
_chemical_formula_sum 'K8 Bi6 Pt4'
_symmetry_space_group_name_H-M 'C 1 2/m 1'
_symmetry_Int_Tables_number 12
_cell_length_a 18.563
_cell_length_b 4.377
_cell_length_c 7.641
_cell_angle_alpha 90.00
_cell_angle_beta 95.64
_cell_angle_gamma 90.00
loop_
_symmetry_equiv_pos_as_xyz
'x,y,z'
'-x,-y,-z'
'-x,y,-z'
'x,-y,z'
'x+1/2,y+1/2,z'
'-x+1/2,-y+1/2,-z'
'-x+1/2,y+1/2,-z'
'x+1/2,-y+1/2,z'
loop_
_atom_site_label
_atom_site_type_symbol
_atom_site_fract_x
_atom_site_fract_y
_atom_site_fract_z
_atom_site_occupancy
K1 K 0.067 0.000 0.365 1
K2 K 0.208 0.500 0.171 1
Bi1 Bi 0.000 0.500 0.000 1
Bi2 Bi 0.138 0.500 0.719 1
Pt1 Pt 0.083 0.000 0.891 1
# - energy of formation from the pure elements (eV per formula unit) = -2.4


[2]
# KBiPt PBE optimized geometry
data_KBiPt
_chemical_formula_sum 'K4 Bi4 Pt4'
_symmetry_space_group_name_H-M 'P 1 21/c 1'
_symmetry_Int_Tables_number 14
_cell_length_a 7.163
_cell_length_b 7.194
_cell_length_c 8.615
_cell_angle_alpha 90.00
_cell_angle_beta 122.63
_cell_angle_gamma 90.00
loop_
_symmetry_equiv_pos_as_xyz
'x,y,z'
'-x,-y,-z'
'-x,y+1/2,-z+1/2'
'x,-y+1/2,z+1/2'
loop_
_atom_site_label
_atom_site_type_symbol
_atom_site_fract_x
_atom_site_fract_y
_atom_site_fract_z
_atom_site_occupancy
K1 K 0.197 0.109 0.422 1
Bi1 Bi 0.261 0.609 0.578 1
Pt1 Pt 0.395 0.622 0.339 1
# - energy of formation from the pure elements (eV per formula unit) = -1.1


[3]
# KBiPt PBE optimized geometry
data_KBiPt
_chemical_formula_sum 'K4 Bi4 Pt4'
_symmetry_space_group_name_H-M 'C 1 2/m 1'
_symmetry_Int_Tables_number 12
_cell_length_a 12.650
_cell_length_b 4.769
_cell_length_c 6.372
_cell_angle_alpha 90.00
_cell_angle_beta 101.93
_cell_angle_gamma 90.00
loop_
_symmetry_equiv_pos_as_xyz
'x,y,z'
'-x,-y,-z'
'-x,y,-z'
'x,-y,z'
'x+1/2,y+1/2,z'
'-x+1/2,-y+1/2,-z'
'-x+1/2,y+1/2,-z'
'x+1/2,-y+1/2,z'
loop_
_atom_site_label
_atom_site_type_symbol
_atom_site_fract_x
_atom_site_fract_y
_atom_site_fract_z
_atom_site_occupancy
K1 K 0.127 0.000 0.348 1
Bi1 Bi 0.096 0.500 0.841 1
Pt1 Pt 0.201 0.000 0.894 1
# - energy of formation from the pure elements (eV per formula unit) = -1.1


[4]
# KBiPt PBE optimized geometry
data_KBiPt
_chemical_formula_sum 'K4 Bi4 Pt4'
_symmetry_space_group_name_H-M 'P n m a'
_symmetry_Int_Tables_number 62
_cell_length_a 8.483
_cell_length_b 4.950
_cell_length_c 7.801
_cell_angle_alpha 90.00
_cell_angle_beta 90.00
_cell_angle_gamma 90.00
loop_
_symmetry_equiv_pos_as_xyz
'x,y,z'
'-x,-y,-z'
'-x+1/2,-y,z+1/2'
'x+1/2,y,-z+1/2'
'x+1/2,-y+1/2,-z+1/2'
'-x+1/2,y+1/2,z+1/2'
'-x,y+1/2,-z'
'x,-y+1/2,z'
loop_
_atom_site_label
_atom_site_type_symbol
_atom_site_fract_x
_atom_site_fract_y
_atom_site_fract_z
_atom_site_occupancy
K1 K 0.015 0.250 0.156 1
Bi1 Bi 0.158 0.250 0.578 1
Pt1 Pt 0.175 0.750 0.392 1
# - energy of formation from the pure elements (eV per formula unit) = -1.0


[5]
# KBi2Pt PBE optimized geometry
data_KBi2Pt
_chemical_formula_sum 'K3 Bi6 Pt3'
_symmetry_space_group_name_H-M 'R 3 m'
_symmetry_Int_Tables_number 160
_symmetry_space_group_name_Hall 'R 3 -2"'
_cell_length_a 4.3975
_cell_length_b 4.3975
_cell_length_c 23.2893
_cell_angle_alpha 90.00
_cell_angle_beta 90.00
_cell_angle_gamma 120.00
loop_
_atom_site_label
_atom_site_type_symbol
_atom_site_fract_x
_atom_site_fract_y
_atom_site_fract_z
_atom_site_occupancy
K1 K 0.0000 0.0000 0.0000 1
Bi1 Bi 0.0000 0.0000 0.5541 1
Bi2 Bi 0.0000 0.0000 0.7820 1
Pt1 Pt 0.0000 0.0000 0.1683 1
# - energy of formation from the pure elements (eV per formula unit) = -1.4


[6]
# K3Bi2Pt PBE optimized geometry
data_K3Bi2Pt
_chemical_formula_sum 'K12 Bi8 Pt4'
_symmetry_space_group_name_H-M 'I b a m'
_symmetry_Int_Tables_number 72
_symmetry_space_group_name_Hall '-I 2 2c'
_cell_length_a 9.838
_cell_length_b 13.706
_cell_length_c 7.417
_cell_angle_alpha 90.00
_cell_angle_beta 90.00
_cell_angle_gamma 90.00
loop_
_atom_site_label
_atom_site_type_symbol
_atom_site_fract_x
_atom_site_fract_y
_atom_site_fract_z
_atom_site_occupancy
K1 K 0.000 0.000 0.250 1
K2 K 0.132 0.304 0.000 1
Bi1 Bi 0.194 0.444 0.500 1
Pt1 Pt 0.000 0.500 0.250 1
# - energy of formation from the pure elements (eV per formula unit) = -1.8


[7]
# KBi2Pt PBE optimized geometry
data_KBi2Pt
_chemical_formula_sum 'K4 Bi8 Pt4'
_symmetry_space_group_name_H-M 'I -4 2 d'
_symmetry_Int_Tables_number 122
_symmetry_space_group_name_Hall 'I -4 2bw'
_cell_length_a 8.758
_cell_length_b 8.758
_cell_length_c 6.445
_cell_angle_alpha 90.00
_cell_angle_beta 90.00
_cell_angle_gamma 90.00
loop_
_atom_site_label
_atom_site_type_symbol
_atom_site_fract_x
_atom_site_fract_y
_atom_site_fract_z
_atom_site_occupancy
K1 K 0.000 0.000 0.000 1
Bi1 Bi 0.170 0.250 0.625 1
Pt1 Pt 0.000 0.000 0.500 1
# - energy of formation from the pure elements (eV per formula unit) = -0.8


[8]
# KBi3Pt PBE optimized geometry
data_KBi3Pt
_chemical_formula_sum 'K1 Bi3 Pt1'
_symmetry_space_group_name_H-M 'P m -3 m'
_symmetry_Int_Tables_number 221
_symmetry_space_group_name_Hall '-P 4 2 3'
_cell_length_a 5.591
_cell_length_b 5.591
_cell_length_c 5.591
_cell_angle_alpha 90.00
_cell_angle_beta 90.00
_cell_angle_gamma 90.00
loop_
_atom_site_label
_atom_site_type_symbol
_atom_site_fract_x
_atom_site_fract_y
_atom_site_fract_z
_atom_site_occupancy
K1 K 0.000 0.000 0.000 1
Bi1 Bi 0.000 0.500 0.500 1
Pt1 Pt 0.500 0.500 0.500 1
# - energy of formation from the pure elements (eV per formula unit) = 0.1


[9]
# KBiPt4 PBE optimized geometry
data_KBiPt4
_chemical_formula_sum 'K4 Bi4 Pt16'
_symmetry_space_group_name_H-M 'F -4 3 m'
_symmetry_Int_Tables_number 216
_symmetry_space_group_name_Hall 'F -4 2 3'
_cell_length_a 7.781
_cell_length_b 7.781
_cell_length_c 7.781
_cell_angle_alpha 90.00
_cell_angle_beta 90.00
_cell_angle_gamma 90.00
loop_
_atom_site_label
_atom_site_type_symbol
_atom_site_fract_x
_atom_site_fract_y
_atom_site_fract_z
_atom_site_occupancy
K1 K 0.000 0.000 0.000 1
Bi1 Bi 0.250 0.250 0.750 1
Pt1 Pt 0.125 0.125 0.375 1
# - energy of formation from the pure elements (eV per formula unit) = -0.9


[10]
# K3Bi5Pt2 PBE optimized geometry
data_K3Bi5Pt2
_chemical_formula_sum 'K12 Bi20 Pt8'
_symmetry_space_group_name_H-M 'I b a m'
_symmetry_Int_Tables_number 72
_symmetry_space_group_name_Hall '-I 2 2c'
_cell_length_a 11.658
_cell_length_b 16.205
_cell_length_c 7.468
_cell_angle_alpha 90.00
_cell_angle_beta 90.00
_cell_angle_gamma 90.00
loop_
_atom_site_label
_atom_site_type_symbol
_atom_site_fract_x
_atom_site_fract_y
_atom_site_fract_z
_atom_site_occupancy
K1 K 0.000 0.000 0.250 1
K2 K 0.231 0.356 0.000 1
Bi1 Bi 0.000 0.229 0.250 1
Bi2 Bi 0.000 0.500 0.250 1
Bi3 Bi 0.142 0.371 0.500 1
Pt1 Pt 0.132 0.154 0.000 1
# - energy of formation from the pure elements (eV per formula unit) = -2.3


[11]
# K3Bi2Pt PBE optimized geometry
data_K3Bi2Pt
_chemical_formula_sum 'K12 Bi8 Pt4'
_symmetry_space_group_name_H-M 'C 1 2/c 1'
_symmetry_Int_Tables_number 15
_cell_length_a 9.868
_cell_length_b 10.594
_cell_length_c 9.332
_cell_angle_alpha 90.00
_cell_angle_beta 100.13
_cell_angle_gamma 90.00
loop_
_symmetry_equiv_pos_as_xyz
'x,y,z'
'-x,-y,-z'
'-x,y,-z+1/2'
'x,-y,z+1/2'
'x+1/2,y+1/2,z'
'-x+1/2,-y+1/2,-z'
'-x+1/2,y+1/2,-z+1/2'
'x+1/2,-y+1/2,z+1/2'
loop_
_atom_site_label
_atom_site_type_symbol
_atom_site_fract_x
_atom_site_fract_y
_atom_site_fract_z
_atom_site_occupancy
K1 K 0.000 0.067 0.250 1
K2 K 0.085 0.358 0.939 1
Bi1 Bi 0.237 0.162 0.627 1
Pt1 Pt 0.000 0.371 0.250 1
# - energy of formation from the pure elements (eV per formula unit) = -1.8


[12]
# KBi6Pt6 PBE optimized geometry
data_KBi6Pt6
_chemical_formula_sum 'K2 Bi12 Pt12'
_symmetry_space_group_name_H-M 'I m m m'
_symmetry_Int_Tables_number 71
_symmetry_space_group_name_Hall '-I 2 2'
_cell_length_a 5.851
_cell_length_b 10.027
_cell_length_c 10.106
_cell_angle_alpha 90.00
_cell_angle_beta 90.00
_cell_angle_gamma 90.00
loop_
_atom_site_label
_atom_site_type_symbol
_atom_site_fract_x
_atom_site_fract_y
_atom_site_fract_z
_atom_site_occupancy
K1 K 0.000 0.000 0.000 1
Bi1 Bi 0.000 0.000 0.341 1
Bi2 Bi 0.000 0.336 0.000 1
Bi3 Bi 0.000 0.500 0.326 1
Pt1 Pt 0.000 0.261 0.500 1
Pt2 Pt 0.250 0.250 0.250 1
# - energy of formation from the pure elements (eV per formula unit) = -1.9


Total magnetic moment, record by record: 0.0; 0.0; 0.0; 0.0; 0.0; 0.0; 0.0; 0.0; 0.0; 0.0; 0.0; 0.0 μB per formula unit